Material: Nd3Mg3IrPt2
Method: DFT, PBE-GGA
State: optimized geometry

Symmetry: No. 189
Uncorrected energy, eV for the cell shown: -47.09

Lattice parameters (Å, degrees): 7.4723 7.4723 4.1863 90.00 90.00 120.00
Element x y z (fractional)
Nd  0.0000  0.4069  0.0000
Nd  0.4069  0.0000  0.0000
Nd  0.5931  0.5931  0.0000
Mg  0.0000  0.7616  0.5000
Mg  0.2384  0.2384  0.5000
Mg  0.7616  0.0000  0.5000
Ir  0.0000  0.0000  0.0000
Pt  0.3333  0.6667  0.5000
Pt  0.6667  0.3333  0.5000